DFT (PBE-GGA) results for a relaxed structure of K2NbSe3.

Properties
Calculated volume, Å³ per atom: 34.0
Final energy, eV per atom: -4.869
Space group: P-1 (2)

Cell and atoms, written as POSCAR:
```
K2NbSe3
1.0
-5.942 -4.032 -0.528
0.697 -5.570 -5.140
0.886 -7.252 4.675
K Nb Se
4 2 6
Cartesian
-3.300 -4.439 -0.706
-4.370 -8.727 -1.883
0.011 -8.127 0.890
-1.059 -12.415 -0.287
0.177 -8.196 -3.381
-4.536 -8.658 2.388
-0.558 -2.160 -0.615
-1.353 -6.880 -2.032
-3.456 -11.765 -3.054
-0.903 -5.089 2.062
-3.006 -9.974 1.040
-3.801 -14.694 -0.377
```

***

DFT (PBE-GGA) results for a relaxed structure of PrTlFeSe3.

Properties
ΔE to the lowest computed polymorph, eV per formula unit: 0.00
Calculated volume, Å³ per atom: 30.1
Space group: Pnma (62)

Cell and atoms, written as POSCAR:
```
PrTlFeSe3
1.0
-0.410 -13.878 -6.054
3.681 0.690 -1.832
5.355 -4.168 9.192
Fe Pr Se Tl
4 4 12 4
Cartesian
1.137 -7.226 -2.810
3.168 -1.708 3.351
5.457 -15.648 -2.045
7.488 -10.130 4.116
3.617 -0.424 -0.009
4.362 -8.102 -1.405
4.264 -9.254 2.711
5.009 -16.932 1.315
0.938 -12.579 -5.226
3.184 -5.716 -2.873
1.851 -9.490 -2.227
2.355 -2.783 1.312
4.469 -13.815 -3.341
3.048 -7.123 1.071
5.577 -10.233 0.235
4.157 -3.541 4.647
6.270 -14.573 -0.006
6.774 -7.866 3.533
5.442 -11.640 4.179
7.687 -4.777 6.532
2.630 -9.832 -5.537
5.171 -4.710 1.499
3.455 -12.646 -0.193
5.996 -7.525 6.843
```

***

DFT (PBE-GGA) results for a relaxed structure of CoTcMoAs.

Properties
ΔE to the lowest computed polymorph, eV per formula unit: 0.00
Calculated volume, Å³ per atom: 14.2
Space group: F-43m (216)

Cell and atoms, written as POSCAR:
```
CoTcMoAs
1.0
0.000 3.048 3.048
3.048 0.000 3.048
3.048 3.048 0.000
As Co Mo Tc
1 1 1 1
Cartesian
0.000 0.000 0.000
4.572 4.572 4.572
3.048 3.048 3.048
1.524 1.524 1.524
```

***

DFT (PBE-GGA) results for a relaxed structure of SrZrW.

Properties
ΔE to the lowest computed polymorph, eV per formula unit: 0.00
Calculated volume, Å³ per atom: 27.0
Space group: F-43m (216)

Cell and atoms, written as POSCAR:
```
SrZrW
1.0
4.278 -0.833 2.140
0.151 -1.700 4.546
1.448 -4.558 0.841
Sr W Zr
1 1 1
Cartesian
1.469 -1.773 1.882
0.000 0.000 0.000
4.407 -5.318 5.645
```

***

DFT (PBE-GGA) results for a relaxed structure of Fe2HgB.

Properties
Calculated volume, Å³ per atom: 12.5
Final energy, eV per atom: -4.965
Space group: F-43m (216)

Cell and atoms, written as POSCAR:
```
Fe2HgB
1.0
-1.846 -3.046 -2.110
-3.905 -1.055 0.879
-3.034 0.879 -2.676
B Fe Hg
1 2 1
Cartesian
-4.392 -1.611 -1.954
0.000 0.000 0.000
-6.588 -2.416 -2.931
-2.196 -0.805 -0.977
```

***

DFT (PBE-GGA) results for a relaxed structure of Ag3ClO.

Properties
Calculated volume, Å³ per atom: 18.3
Final energy, eV per atom: -3.179
Space group: Pm-3m (221)

Cell and atoms, written as POSCAR:
```
Ag3ClO
1.0
-4.498 0.240 0.161
-0.045 -3.064 3.305
0.285 3.296 3.060
Ag Cl O
3 1 1
Cartesian
-2.271 -1.412 1.733
-2.106 1.768 1.611
0.120 0.116 3.182
0.000 0.000 0.000
-2.129 0.236 3.263
```

***

DFT (PBE-GGA) results for a relaxed structure of Sr2SmTe3.

Properties
Calculated volume, Å³ per atom: 35.1
Final energy, eV per atom: -4.521
Space group: P-3m1 (164)

Cell and atoms, written as POSCAR:
```
Sr2SmTe3
1.0
4.597 0.000 0.000
-2.298 3.981 0.000
0.000 0.000 11.494
Sm Sr Te
1 2 3
Cartesian
0.000 0.000 0.000
2.298 1.327 3.772
0.000 2.654 7.722
0.000 2.654 1.779
0.000 0.000 5.747
2.298 1.327 9.715
```

***

DFT (PBE-GGA) results for a relaxed structure of Zr4NiP.

Properties
Calculated volume, Å³ per atom: 18.6
Final energy, eV per atom: -8.182
Space group: P4/mcc (124)

Cell and atoms, written as POSCAR:
```
Zr4NiP
1.0
-5.702 1.638 2.571
-3.027 -2.390 -5.190
-0.301 -4.772 2.373
Ni P Zr
2 2 8
Cartesian
-0.075 -1.193 0.593
-0.226 -3.579 1.780
-4.440 -1.569 -0.716
-4.590 -3.955 0.470
-2.420 0.175 0.044
-5.820 0.565 0.398
-2.910 -1.317 -3.017
-6.309 -0.926 -2.663
-4.400 -1.686 2.056
-2.089 -2.936 -0.165
-6.941 -2.588 -0.080
-4.631 -3.838 -2.302
```

***

DFT (PBE-GGA) results for a relaxed structure of GdEr2Cd4Hg2.

Properties
Energy of formation, eV per atom: -0.363
Calculated volume, Å³ per atom: 24.3
Space group: Amm2 (38)

Cell and atoms, written as POSCAR:
```
GdEr2Cd4Hg2
1.0
-1.200 -3.121 2.850
5.136 -4.712 -2.999
1.884 4.548 5.774
Cd Er Gd Hg
4 2 1 2
Cartesian
0.027 -0.001 0.011
1.134 -1.601 2.110
5.953 -2.835 2.788
5.159 -0.574 4.930
5.923 -2.786 -0.558
4.048 2.553 4.500
4.055 -0.095 1.603
3.448 -3.203 1.330
2.352 -0.082 4.287
```

***

DFT (PBE-GGA) results for a relaxed structure of SrAg2F8.

Properties
ΔE to the lowest computed polymorph, eV per formula unit: 0.69
Calculated volume, Å³ per atom: 13.4
Space group: P1 (1)

Cell and atoms, written as POSCAR:
```
SrAg2F8
1.0
-4.740 2.284 0.136
-2.282 -4.747 0.255
-3.233 -1.059 5.504
Ag F Sr
2 8 1
Cartesian
-5.587 0.078 5.554
-9.098 -1.152 5.760
-3.244 -3.032 1.531
-5.237 -1.349 1.598
-1.572 -1.036 1.447
-3.555 0.653 1.493
-6.617 -4.326 4.368
-8.793 -2.543 4.442
-4.840 -2.130 4.272
-7.029 -0.355 4.326
-6.868 -2.361 3.032
```

***

DFT (PBE-GGA) results for a relaxed structure of Li2NbCu.

Properties
Calculated volume, Å³ per atom: 13.9
Final energy, eV per atom: -4.062
Space group: F-43m (216)

Cell and atoms, written as POSCAR:
```
Li2NbCu
1.0
1.700 -3.834 0.869
-1.832 -2.543 2.919
-2.022 -3.568 -1.235
Cu Li Nb
1 2 1
Cartesian
-1.616 -7.459 1.915
-0.539 -2.486 0.638
-1.077 -4.973 1.276
0.000 0.000 0.000
```

***

DFT (PBE-GGA) results for a relaxed structure of BaSmGaSe3.

Properties
Calculated volume, Å³ per atom: 29.8
Final energy, eV per atom: -4.701
Space group: Cmcm (63)

Cell and atoms, written as POSCAR:
```
BaSmGaSe3
1.0
-6.953 3.050 -0.537
4.349 -6.096 -1.367
-2.551 -4.059 9.985
Ba Ga Se Sm
2 2 6 2
Cartesian
-4.737 -0.275 1.750
-0.419 -6.830 6.331
3.394 -6.854 1.153
-8.550 -0.250 6.928
2.698 -4.989 -0.879
-0.955 -3.335 1.472
1.613 -6.715 3.366
-6.769 -0.390 4.715
-4.201 -3.770 6.609
-7.854 -2.115 8.960
-1.302 -1.523 -0.952
-2.578 -3.552 4.041
```

***

DFT (PBE-GGA) results for a relaxed structure of Li4AgBi2Pd.

Properties
Calculated volume, Å³ per atom: 18.4
Final energy, eV per atom: -3.416
Space group: P-4m2 (115)

Cell and atoms, written as POSCAR:
```
Li4AgBi2Pd
1.0
-0.859 4.614 0.329
-4.580 -0.802 -0.718
-0.916 -0.638 6.557
Ag Bi Li Pd
1 2 4 1
Cartesian
-2.720 1.906 -0.195
-0.668 2.141 1.873
-2.968 -0.873 4.490
0.000 0.000 0.000
-2.528 -0.566 1.340
-3.178 1.587 3.084
-1.109 1.834 5.022
-0.458 -0.319 3.279
```

***

DFT (PBE-GGA) results for a relaxed structure of TbDyPd4Pb2.

Properties
Calculated volume, Å³ per atom: 21.1
Final energy, eV per atom: -5.361
Space group: P-6m2 (187)

Cell and atoms, written as POSCAR:
```
TbDyPd4Pb2
1.0
4.686 0.000 0.000
-2.343 4.058 0.000
0.000 0.000 8.879
Dy Pb Pd Tb
1 2 4 1
Cartesian
0.000 0.000 0.000
0.000 2.705 2.214
0.000 2.705 6.665
2.343 1.353 1.429
0.000 0.000 2.999
0.000 0.000 5.879
2.343 1.353 7.449
2.343 1.353 4.439
```

***

DFT (PBE-GGA) results for a relaxed structure of Pr2PdPt.

Properties
Energy of formation, eV per atom: -0.963
Calculated volume, Å³ per atom: 24.9
Space group: Amm2 (38)

Cell and atoms, written as POSCAR:
```
Pr2PdPt
1.0
4.641 0.000 0.000
0.000 1.961 5.473
0.000 -1.961 5.473
Pd Pr Pt
1 2 1
Cartesian
2.321 0.000 6.420
0.000 0.000 1.497
2.321 0.000 9.448
0.000 0.000 4.526
```

***

DFT (PBE-GGA) results for a relaxed structure of Ho3TaO6.

Properties
Calculated volume, Å³ per atom: 12.6
Final energy, eV per atom: -8.598
Space group: P2_1/c (14)

Cell and atoms, written as POSCAR:
```
Ho3TaO6
1.0
-0.383 2.330 -4.943
-5.884 -1.427 -0.217
-1.388 4.547 7.726
Ho O Ta
6 12 2
Cartesian
-3.133 0.451 -2.580
-2.966 1.026 0.757
-6.125 1.633 -2.133
-0.886 3.439 1.391
-1.529 3.817 4.699
-4.689 4.423 1.809
-1.465 1.725 -3.291
-4.456 1.390 -4.112
-0.952 1.833 -0.189
-4.037 1.821 -1.035
-1.735 1.973 2.843
-4.757 1.630 2.021
-2.898 3.819 0.545
-5.920 3.476 -0.277
-3.617 3.628 3.601
-6.702 3.617 2.755
-3.199 4.060 6.678
-6.190 3.725 5.857
0.000 0.000 0.000
-3.636 1.560 3.755
```

***

DFT (PBE-GGA) results for a relaxed structure of Pr2ErSn4Au4.

Properties
Calculated volume, Å³ per atom: 24.2
Final energy, eV per atom: -4.595
Space group: Immm (71)

Cell and atoms, written as POSCAR:
```
Pr2ErSn4Au4
1.0
-2.364 3.609 7.805
2.364 -3.609 7.805
2.364 3.609 -7.805
Au Er Pr Sn
4 1 2 4
Cartesian
0.000 2.143 5.139
0.000 2.143 10.471
2.364 1.466 2.666
2.364 1.466 -2.666
0.000 0.000 0.000
0.000 3.609 2.021
2.364 0.000 5.783
0.000 0.000 3.276
0.000 0.000 12.334
0.000 1.469 7.805
2.364 2.140 0.000
```

***

DFT (PBE-GGA) results for a relaxed structure of LuPOsO.

Properties
ΔE to the lowest computed polymorph, eV per formula unit: 0.00
Calculated volume, Å³ per atom: 15.1
Space group: P4/nmm (129)

Cell and atoms, written as POSCAR:
```
LuPOsO
1.0
2.804 -2.804 0.000
2.804 2.804 0.000
0.000 0.000 7.662
Lu O Os P
2 2 2 2
Cartesian
0.000 0.000 0.986
2.804 0.000 6.676
1.402 -1.402 0.000
1.402 1.402 0.000
1.402 -1.402 3.831
1.402 1.402 3.831
2.804 0.000 2.584
0.000 0.000 5.078
```

***

DFT (PBE-GGA) results for a relaxed structure of LuTe3PdPb.

Properties
Calculated volume, Å³ per atom: 28.7
Final energy, eV per atom: -4.538
Space group: Cmcm (63)

Cell and atoms, written as POSCAR:
```
LuTe3PdPb
1.0
2.047 -7.494 0.000
2.047 7.494 0.000
0.000 0.000 11.209
Lu Pb Pd Te
2 2 2 6
Cartesian
2.047 0.000 0.000
2.047 0.000 5.604
2.047 3.073 2.802
2.047 -3.073 8.407
2.047 -6.847 2.802
2.047 6.847 8.407
2.047 -5.336 0.476
2.047 -1.168 2.802
2.047 -5.336 5.128
2.047 5.336 6.080
2.047 1.168 8.407
2.047 5.336 10.733
```

***

DFT (PBE-GGA) results for a relaxed structure of Nb3Al2C.

Properties
Calculated volume, Å³ per atom: 15.1
Final energy, eV per atom: -8.294
Space group: P4_132 (213)

Cell and atoms, written as POSCAR:
```
Nb3Al2C
1.0
-2.143 -5.512 -3.972
6.449 -0.340 -3.008
2.138 -4.501 5.092
Al C Nb
8 4 12
Cartesian
0.453 -0.727 -0.133
0.692 -5.439 -3.306
5.589 -2.711 -1.551
2.604 -7.253 -3.220
6.294 -5.251 -1.600
4.380 -7.037 -1.283
2.227 -5.518 2.364
3.537 -7.474 1.177
4.571 -4.305 -4.478
2.417 -3.882 -0.708
0.267 -7.678 -0.669
5.634 -4.839 2.079
2.769 -5.264 -5.370
2.764 -1.849 -1.549
0.269 -3.476 -1.139
3.493 -4.541 -2.543
5.260 -6.393 -4.121
2.030 -2.808 1.204
1.725 -5.996 -0.595
4.217 -4.622 0.374
7.055 -3.718 0.782
2.070 -8.970 -0.876
0.647 -7.841 1.519
6.364 -6.636 0.985
```

***

DFT (PBE-GGA) results for a relaxed structure of YErNp.

Properties
Energy of formation, eV per atom: 1.167
ΔE to the lowest computed polymorph, eV per formula unit: 0.00
Calculated volume, Å³ per atom: 35.0
Space group: F-43m (216)

Cell and atoms, written as POSCAR:
```
YErNp
1.0
-0.823 -4.782 2.116
-4.940 -1.760 0.725
-1.875 -3.936 -3.002
Er Np Y
1 1 1
Cartesian
0.000 0.000 0.000
-1.909 -2.619 -0.041
-5.728 -7.858 -0.122
```